Below is crystalline LiTcPt3 at its relaxed geometry, with properties calculated at the PBE-GGA level.

Cell lengths 4.8273, 4.8273, 4.8273 Å; angles 90.00, 90.00, 90.00 degrees
Fractional positions:
Tc 0.0000 0.0000 0.0000
Pt 0.0000 0.0000 0.5000
Li 0.5000 0.5000 0.5000
Pt 0.5000 0.0000 0.0000
Pt 0.0000 0.5000 0.0000

Results
E_form: 807 meV per atom
Total magnetization: 0.000 μB/atom
Crystal system: cubic
Energy above the most stable polymorph in this dataset: 0.234 eV per atom